# 1
## ThSiRh2 (GGA-PBE)

Data for ThSiRh2 after structural relaxation.

a = 5.7308 Å, b = 6.8618 Å, c = 7.3258 Å
α = 90.00°, β = 90.00°, γ = 90.00°
With the nearest neighbours (Å) after each atom.
Atoms (fractional coordinates):
Th 0.3525 0.2500 0.0265  8 Rh 2.94-3.21, 3 Si 3.03-3.13
Th 0.8525 0.7500 0.4735  8 Rh 2.94-3.21, 3 Si 3.03-3.13
Th 0.6475 0.7500 0.9735  8 Rh 2.94-3.21, 3 Si 3.03-3.13
Th 0.1475 0.2500 0.5265  8 Rh 2.94-3.21, 3 Si 3.03-3.13
Si 0.6500 0.2500 0.3845  6 Rh 2.52-2.59
Si 0.1500 0.7500 0.1155  6 Rh 2.52-2.59
Si 0.3500 0.7500 0.6155  6 Rh 2.52-2.59
Si 0.8500 0.2500 0.8845  6 Rh 2.52-2.59
Rh 0.9059 0.0472 0.1799  3 Si 2.52-2.59, 1 Rh 2.78
Rh 0.4059 0.9528 0.3201  3 Si 2.52-2.59, 1 Rh 2.78
Rh 0.0941 0.5472 0.8201  3 Si 2.52-2.59, 1 Rh 2.78
Rh 0.5941 0.4528 0.6799  3 Si 2.52-2.59, 1 Rh 2.78
Rh 0.0941 0.9528 0.8201  3 Si 2.52-2.59, 1 Rh 2.78
Rh 0.5941 0.0472 0.6799  3 Si 2.52-2.59, 1 Rh 2.78
Rh 0.9059 0.4528 0.1799  3 Si 2.52-2.59, 1 Rh 2.78
Rh 0.4059 0.5472 0.3201  3 Si 2.52-2.59, 1 Rh 2.78

Summary:
For the raw formation energy, the calculation gives -4.11 eV per formula unit. As for the total DFT energy (no corrections): -7.91 eV/atom.

# 2
## ThSi2Rh5 (GGA-PBE)

Data for ThSi2Rh5 after structural relaxation.

a = 3.9098 Å, b = 6.2723 Å, c = 6.2723 Å
α = 64.95°, β = 71.84°, γ = 71.84°
With the nearest neighbours (Å) after each atom.
Atoms (fractional coordinates):
Th 0.0000 0.0000 0.0000  10 Rh 3.14-3.37, 4 Si 3.26
Si 0.7651 0.7349 0.7349  7 Rh 2.31-2.54
Si 0.2349 0.2651 0.2651  7 Rh 2.31-2.54
Rh 0.0000 0.5000 0.5000  2 Si 2.31
Rh 0.6458 0.5572 0.1511  3 Si 2.32-2.54
Rh 0.3542 0.4428 0.8489  3 Si 2.32-2.54
Rh 0.3542 0.8489 0.4428  3 Si 2.32-2.54
Rh 0.6458 0.1511 0.5572  3 Si 2.32-2.54

Summary:
For the raw formation energy, the calculation gives -6.85 eV per formula unit. As for the total DFT energy (no corrections): -7.73 eV/atom.

# 3
## Th4Si6Rh7 (GGA-PBE)

Data for Th4Si6Rh7 after structural relaxation.

a = 7.3764 Å, b = 7.3764 Å, c = 7.3764 Å
α = 109.47°, β = 109.47°, γ = 109.47°
With the nearest neighbours (Å) after each atom.
Atoms (fractional coordinates):
Th 0.5000 0.0000 0.0000  6 Rh 3.01, 6 Si 3.09
Th 0.5000 0.5000 0.5000  6 Rh 3.01, 6 Si 3.09
Th 0.0000 0.5000 0.0000  6 Rh 3.01, 6 Si 3.09
Th 0.0000 0.0000 0.5000  6 Rh 3.01, 6 Si 3.09
Si 0.6662 0.0000 0.6662  5 Rh 2.56-2.84, 1 Si 2.83
Si 0.6662 0.6662 0.0000  5 Rh 2.56-2.84, 1 Si 2.83
Si 0.0000 0.3338 0.3338  5 Rh 2.56-2.84, 1 Si 2.83
Si 0.3338 0.0000 0.3338  5 Rh 2.56-2.84, 1 Si 2.83
Si 0.3338 0.3338 0.0000  5 Rh 2.56-2.84, 1 Si 2.83
Si 0.0000 0.6662 0.6662  5 Rh 2.56-2.84, 1 Si 2.83
Rh 0.7500 0.5000 0.2500  4 Si 2.56
Rh 0.2500 0.7500 0.5000  4 Si 2.56
Rh 0.5000 0.7500 0.2500  4 Si 2.56
Rh 0.7500 0.2500 0.5000  4 Si 2.56
Rh 0.2500 0.5000 0.7500  4 Si 2.56
Rh 0.5000 0.2500 0.7500  4 Si 2.56
Rh 0.0000 0.0000 0.0000  6 Si 2.84

Summary:
For the raw formation energy, the calculation gives -16.60 eV per formula unit. As for the total DFT energy (no corrections): -7.66 eV/atom.

# 4
## ThSi3Rh (GGA-PBE)

Data for ThSi3Rh after structural relaxation.

a = 5.7300 Å, b = 5.5804 Å, c = 5.9449 Å
α = 90.00°, β = 90.00°, γ = 90.00°
With the nearest neighbours (Å) after each atom.
Atoms (fractional coordinates):
Th 0.4278 0.3206 0.7008  8 Si 2.94-3.24, 1 Rh 3.04
Th 0.9278 0.0322 0.2008  8 Si 2.94-3.24, 1 Rh 3.04
Si 0.4000 0.2385 0.2008  1 Rh 2.35, 2 Si 2.49
Si 0.4431 0.8569 0.9891  2 Rh 2.37-2.44, 2 Si 2.49-2.52
Si 0.9430 0.4959 0.4891  2 Rh 2.37-2.44, 2 Si 2.49-2.52
Si 0.9000 0.1143 0.7008  1 Rh 2.35, 2 Si 2.49
Si 0.9431 0.4959 0.9124  2 Rh 2.37-2.44, 2 Si 2.49-2.52
Si 0.4431 0.8569 0.4124  2 Rh 2.37-2.44, 2 Si 2.49-2.52
Rh 0.1641 0.7930 0.7007  5 Si 2.35-2.44
Rh 0.6641 0.5597 0.2007  5 Si 2.35-2.44

Summary:
For the raw formation energy, the calculation gives -3.52 eV per formula unit. As for the total DFT energy (no corrections): -6.91 eV/atom.

Copy entry 2 word for word.
## ThSi2Rh5 (GGA-PBE)

Data for ThSi2Rh5 after structural relaxation.

a = 3.9098 Å, b = 6.2723 Å, c = 6.2723 Å
α = 64.95°, β = 71.84°, γ = 71.84°
With the nearest neighbours (Å) after each atom.
Atoms (fractional coordinates):
Th 0.0000 0.0000 0.0000  10 Rh 3.14-3.37, 4 Si 3.26
Si 0.7651 0.7349 0.7349  7 Rh 2.31-2.54
Si 0.2349 0.2651 0.2651  7 Rh 2.31-2.54
Rh 0.0000 0.5000 0.5000  2 Si 2.31
Rh 0.6458 0.5572 0.1511  3 Si 2.32-2.54
Rh 0.3542 0.4428 0.8489  3 Si 2.32-2.54
Rh 0.3542 0.8489 0.4428  3 Si 2.32-2.54
Rh 0.6458 0.1511 0.5572  3 Si 2.32-2.54

Summary:
For the raw formation energy, the calculation gives -6.85 eV per formula unit. As for the total DFT energy (no corrections): -7.73 eV/atom.

Copy entry 1 word for word.
## ThSiRh2 (GGA-PBE)

Data for ThSiRh2 after structural relaxation.

a = 5.7308 Å, b = 6.8618 Å, c = 7.3258 Å
α = 90.00°, β = 90.00°, γ = 90.00°
With the nearest neighbours (Å) after each atom.
Atoms (fractional coordinates):
Th 0.3525 0.2500 0.0265  8 Rh 2.94-3.21, 3 Si 3.03-3.13
Th 0.8525 0.7500 0.4735  8 Rh 2.94-3.21, 3 Si 3.03-3.13
Th 0.6475 0.7500 0.9735  8 Rh 2.94-3.21, 3 Si 3.03-3.13
Th 0.1475 0.2500 0.5265  8 Rh 2.94-3.21, 3 Si 3.03-3.13
Si 0.6500 0.2500 0.3845  6 Rh 2.52-2.59
Si 0.1500 0.7500 0.1155  6 Rh 2.52-2.59
Si 0.3500 0.7500 0.6155  6 Rh 2.52-2.59
Si 0.8500 0.2500 0.8845  6 Rh 2.52-2.59
Rh 0.9059 0.0472 0.1799  3 Si 2.52-2.59, 1 Rh 2.78
Rh 0.4059 0.9528 0.3201  3 Si 2.52-2.59, 1 Rh 2.78
Rh 0.0941 0.5472 0.8201  3 Si 2.52-2.59, 1 Rh 2.78
Rh 0.5941 0.4528 0.6799  3 Si 2.52-2.59, 1 Rh 2.78
Rh 0.0941 0.9528 0.8201  3 Si 2.52-2.59, 1 Rh 2.78
Rh 0.5941 0.0472 0.6799  3 Si 2.52-2.59, 1 Rh 2.78
Rh 0.9059 0.4528 0.1799  3 Si 2.52-2.59, 1 Rh 2.78
Rh 0.4059 0.5472 0.3201  3 Si 2.52-2.59, 1 Rh 2.78

Summary:
For the raw formation energy, the calculation gives -4.11 eV per formula unit. As for the total DFT energy (no corrections): -7.91 eV/atom.